{"formula": "Zn3Cd3Bi", "functional": "GGA-PBE", "state": "optimized geometry", "lattice_angstrom": [[7.4447, 0.0000, 0.0000], [0.0000, 7.4447, 0.0000], [0.0000, 0.0000, 7.4447]], "species": ["Zn", "Zn", "Zn", "Zn", "Zn", "Zn", "Cd", "Cd", "Cd", "Cd", "Cd", "Cd", "Bi", "Bi"], "fractional_positions": [[0.0000, 0.2500, 0.5000], [0.0000, 0.7500, 0.5000], [0.2500, 0.5000, 0.0000], [0.5000, 0.0000, 0.2500], [0.5000, 0.0000, 0.7500], [0.7500, 0.5000, 0.0000], [0.0000, 0.5000, 0.2500], [0.0000, 0.5000, 0.7500], [0.2500, 0.0000, 0.5000], [0.5000, 0.2500, 0.0000], [0.5000, 0.7500, 0.0000], [0.7500, 0.0000, 0.5000], [0.0000, 0.0000, 0.0000], [0.5000, 0.5000, 0.5000]], "space_group": "Pm-3n", "e_form_ev_per_atom": 0.508}

{"formula": "AlSiTcIr", "functional": "GGA-PBE", "state": "optimized geometry", "lattice_angstrom": [[5.9761, 0.0000, 0.0000], [0.0000, 5.9761, 0.0000], [0.0000, 0.0000, 5.9761]], "species": ["Al", "Al", "Al", "Al", "Si", "Si", "Si", "Si", "Tc", "Tc", "Tc", "Tc", "Ir", "Ir", "Ir", "Ir"], "fractional_positions": [[0.0000, 0.0000, 0.0000], [0.0000, 0.5000, 0.5000], [0.5000, 0.0000, 0.5000], [0.5000, 0.5000, 0.0000], [0.0000, 0.0000, 0.5000], [0.0000, 0.5000, 0.0000], [0.5000, 0.0000, 0.0000], [0.5000, 0.5000, 0.5000], [0.2500, 0.2500, 0.7500], [0.2500, 0.7500, 0.2500], [0.7500, 0.2500, 0.2500], [0.7500, 0.7500, 0.7500], [0.2500, 0.2500, 0.2500], [0.2500, 0.7500, 0.7500], [0.7500, 0.2500, 0.7500], [0.7500, 0.7500, 0.2500]], "space_group": "F-43m", "de_polymorph_ev_per_atom": 0.005}

{"formula": "GeAsO2F", "functional": "GGA-PBE", "state": "optimized geometry", "lattice_angstrom": [[4.0736, 0.0000, 0.0000], [0.0000, 4.0736, 0.0000], [0.0000, 0.0000, 4.1192]], "species": ["Ge", "As", "O", "O", "F"], "fractional_positions": [[0.0000, 0.0000, 0.0000], [0.5000, 0.5000, 0.5000], [0.0000, 0.5000, 0.5000], [0.5000, 0.0000, 0.5000], [0.5000, 0.5000, 0.0000]], "total_energy_ev_per_atom": -4.9463, "space_group": "P4/mmm"}

{"formula": "LiLaMgBe", "functional": "GGA-PBE", "state": "optimized geometry", "lattice_angstrom": [[6.9717, 0.0000, 0.0000], [0.0000, 6.9717, 0.0000], [0.0000, 0.0000, 6.9717]], "species": ["Li", "Li", "Li", "Li", "La", "La", "La", "La", "Mg", "Mg", "Mg", "Mg", "Be", "Be", "Be", "Be"], "fractional_positions": [[0.0000, 0.0000, 0.0000], [0.0000, 0.5000, 0.5000], [0.5000, 0.0000, 0.5000], [0.5000, 0.5000, 0.0000], [0.2500, 0.2500, 0.7500], [0.2500, 0.7500, 0.2500], [0.7500, 0.2500, 0.2500], [0.7500, 0.7500, 0.7500], [0.2500, 0.2500, 0.2500], [0.2500, 0.7500, 0.7500], [0.7500, 0.2500, 0.7500], [0.7500, 0.7500, 0.2500], [0.0000, 0.0000, 0.5000], [0.0000, 0.5000, 0.0000], [0.5000, 0.0000, 0.0000], [0.5000, 0.5000, 0.5000]], "space_group": "F-43m", "e_form_ev_per_atom": 0.067}

{"formula": "La2Y3HoAs6", "functional": "GGA-PBE", "state": "optimized geometry", "lattice_angstrom": [[9.1635, -2.1049, 0.0000], [9.1635, 2.1049, 0.0000], [-1.9282, 0.0000, 8.1884]], "species": ["La", "La", "Y", "Y", "Y", "Ho", "As", "As", "As", "As", "As", "As"], "fractional_positions": [[0.1651, 0.1651, 0.3308], [0.8349, 0.8349, 0.6692], [0.1670, 0.1670, 0.8344], [0.5000, 0.5000, 0.5000], [0.8330, 0.8330, 0.1656], [0.5000, 0.5000, 0.0000], [0.0034, 0.0034, 0.7536], [0.3344, 0.3344, 0.9263], [0.3362, 0.3362, 0.4095], [0.6638, 0.6638, 0.5905], [0.6656, 0.6656, 0.0737], [0.9966, 0.9966, 0.2464]], "space_group": "C2/m", "e_form_ev_per_atom": -1.543}

{"formula": "TbSm2Dy2Sc2", "functional": "GGA-PBE", "state": "optimized geometry", "lattice_angstrom": [[11.3457, 0.0000, 0.0000], [0.0000, 3.4351, 0.0000], [-3.7626, 0.0000, 10.9641]], "species": ["Tb", "Tb", "Sm", "Sm", "Sm", "Sm", "Dy", "Dy", "Dy", "Dy", "Sc", "Sc", "Sc", "Sc"], "fractional_positions": [[0.0000, 0.0000, 0.0000], [0.5000, 0.5000, 0.0000], [0.1710, 0.5000, 0.5887], [0.3290, 0.0000, 0.4113], [0.6710, 0.0000, 0.5887], [0.8290, 0.5000, 0.4113], [0.0467, 0.5000, 0.2676], [0.4533, 0.0000, 0.7324], [0.5467, 0.0000, 0.2676], [0.9533, 0.5000, 0.7324], [0.2278, 0.0000, 0.8686], [0.2722, 0.5000, 0.1314], [0.7278, 0.5000, 0.8686], [0.7722, 0.0000, 0.1314]], "space_group": "C2/m", "e_form_ev_per_atom": 0.109}

{"formula": "Pr3HoCd4", "functional": "GGA-PBE", "state": "optimized geometry", "lattice_angstrom": [[3.8203, 0.0000, 0.0000], [0.0000, 3.8203, 0.0000], [0.0000, 0.0000, 15.5848]], "species": ["Pr", "Pr", "Pr", "Ho", "Cd", "Cd", "Cd", "Cd"], "fractional_positions": [[0.0000, 0.0000, 0.0000], [0.0000, 0.0000, 0.2563], [0.0000, 0.0000, 0.7437], [0.0000, 0.0000, 0.5000], [0.5000, 0.5000, 0.1271], [0.5000, 0.5000, 0.3875], [0.5000, 0.5000, 0.6125], [0.5000, 0.5000, 0.8729]], "space_group": "P4/mmm", "e_form_ev_per_atom": -0.314}

{"formula": "Li2ZnAs", "functional": "GGA-PBE", "state": "optimized geometry", "lattice_angstrom": [[3.4473, 0.0000, 0.0000], [0.0000, 3.4473, 0.0000], [0.0000, 0.0000, 5.4993]], "species": ["Li", "Li", "Zn", "As"], "fractional_positions": [[0.0000, 0.0000, 0.0000], [0.5000, 0.5000, 0.2793], [0.0000, 0.0000, 0.5110], [0.5000, 0.5000, 0.7709]], "space_group": "P4mm", "de_polymorph_ev_per_atom": 0.136, "e_form_ev_per_atom": -0.263}

Table of DOS at the Fermi energy (states/eV/cell), in record order: 10.377 7.801 1.592 5.465 1.611 24.491 9.365 1.115